This record from the Alexandria database describes a geometry-optimized LaY2Cr structure. The functional is PBE.

Unit cell a=5.1241 b=3.5450 c=6.6893 alpha=74.21 beta=90.00 gamma=90.00
Last column: nearest neighbours and their distance in Å.
Sites, in units of the cell vectors:
La (0.5000, 0.7500, 0.7500)  2 Cr 3.33, 8 Y 3.53-3.64, 2 La 3.54
Y (0.0000, 0.0788, 0.0251)  2 Cr 3.11, 1 Y 3.27
Y (0.0000, 0.4212, 0.4749)  2 Cr 3.11, 1 Y 3.27
Cr (0.5000, 0.2500, 0.2500)  4 Y 3.11, 2 La 3.33

Properties
Volume (Å³ per atom): 29.231
Offset from the most stable computed form (eV per atom): 0.121


This record from the Alexandria database describes a geometry-optimized LaYCr2 structure. The functional is PBE.

Unit cell a=3.2247 b=3.2247 c=8.6673 alpha=90.00 beta=90.00 gamma=90.00
Last column: nearest neighbours and their distance in Å.
Sites, in units of the cell vectors:
Y (0.5000, 0.5000, 0.8145)  5 Cr 3.11-3.14, 4 Y 3.22
Cr (0.0000, 0.0000, 0.0593)  4 Cr 2.50
Cr (0.5000, 0.5000, 0.1773)  4 Cr 2.50
La (0.0000, 0.0000, 0.4489)  4 La 3.22, 5 Cr 3.28-3.38

Properties
Volume (Å³ per atom): 22.532
Offset from the most stable computed form (eV per atom): 0.000


This record from the Alexandria database describes a geometry-optimized LaYCr2 structure. The functional is PBE.

Unit cell a=5.9526 b=5.9526 c=5.9526 alpha=136.83 beta=136.83 gamma=62.69
Last column: nearest neighbours and their distance in Å.
Sites, in units of the cell vectors:
Cr (0.2500, 0.7500, 0.5000)  4 Y 3.10, 4 Cr 3.35, 4 La 3.35
Cr (0.0000, 0.0000, 0.0000)  4 La 3.10, 4 Cr 3.35, 4 Y 3.35
Y (0.7500, 0.2500, 0.5000)  8 Cr 3.10-3.35, 4 La 3.35
La (0.5000, 0.5000, 0.0000)  8 Cr 3.10-3.35, 4 Y 3.35

Properties
Volume (Å³ per atom): 24.374
Offset from the most stable computed form (eV per atom): 0.248


This record from the Alexandria database describes a geometry-optimized LaYCr structure. The functional is PBE.

Unit cell a=5.0806 b=5.0806 c=5.0806 alpha=60.00 beta=60.00 gamma=60.00
Last column: nearest neighbours and their distance in Å.
Sites, in units of the cell vectors:
Y (0.5000, 0.5000, 0.5000)  4 Cr 3.11
Cr (0.2500, 0.2500, 0.2500)  4 La 3.11, 4 Y 3.11
La (0.0000, 0.0000, 0.0000)  4 Cr 3.11

Properties
Volume (Å³ per atom): 30.910
Offset from the most stable computed form (eV per atom): 0.229


This record from the Alexandria database describes a geometry-optimized LaY2Cr structure. The functional is PBE.

Unit cell a=5.4493 b=5.4493 c=5.4493 alpha=60.00 beta=60.00 gamma=60.00
Last column: nearest neighbours and their distance in Å.
Sites, in units of the cell vectors:
Y (0.2500, 0.2500, 0.2500)  4 Cr 3.34, 4 La 3.34
Y (0.7500, 0.7500, 0.7500)  4 Cr 3.34, 4 La 3.34
Cr (0.0000, 0.0000, 0.0000)  8 Y 3.34
La (0.5000, 0.5000, 0.5000)  8 Y 3.34

Properties
Volume (Å³ per atom): 28.605
Offset from the most stable computed form (eV per atom): 0.131


This record from the Alexandria database describes a geometry-optimized LaY3Cr structure. The functional is PBE.

Unit cell a=5.5080 b=5.5080 c=5.5080 alpha=90.00 beta=90.00 gamma=90.00
Last column: nearest neighbours and their distance in Å.
Sites, in units of the cell vectors:
Y (0.5000, 0.0000, 0.0000)  2 La 2.75
Y (0.0000, 0.0000, 0.5000)  2 La 2.75
Y (0.0000, 0.5000, 0.0000)  2 La 2.75
La (0.0000, 0.0000, 0.0000)  6 Y 2.75
Cr (0.5000, 0.5000, 0.5000)  12 Y 3.89

Properties
Volume (Å³ per atom): 33.420
Offset from the most stable computed form (eV per atom): 1.282